12
Lattice="6.0397 0.0000 0.0000 3.0199 9.0583 1.8498 3.0199 1.6472 7.9431" Properties=species:S:1:pos:R:3 comment="PmPr7Tm4 | Alexandria via LeMat-Bulk | PBE-GGA | relaxed" rho_g_cm3=7.21 dft_energy_ev_per_fu=-53.665 delta_e_f_ev_per_fu=2.43 space_group="C2/m (12)" pbc="T T T"
Pm 0.0000 0.0000 0.0000
Pr 9.0596 8.9526 5.9382
Pr 3.0199 1.7528 3.8548
Pr 3.0199 5.3707 3.2189
Pr 9.0596 5.3348 6.5741
Pr 6.0397 8.1053 7.8262
Pr 3.0199 0.0000 0.0000
Pr 6.0397 2.6002 1.9668
Tm 6.0397 3.6524 5.0536
Tm 6.0397 7.0531 4.7393
Tm 6.0397 5.7802 1.4521
Tm 6.0397 4.9253 8.3408

14
Lattice="-0.2554 1.7589 -2.6309 -6.5546 -2.4834 -2.9398 -4.4662 5.6940 2.3246" Properties=species:S:1:pos:R:3 comment="Pr3B9C2 | Alexandria via LeMat-Bulk | PBE-GGA | relaxed" rho_g_cm3=5.18 dft_energy_ev_per_fu=-88.209 delta_e_f_ev_per_fu=4.67 space_group="Immm (71)" pbc="T T T"
Pr 0.0000 0.0000 0.0000
Pr -3.7101 2.2248 -1.9840
Pr -7.5661 2.7447 -1.2620
B -5.5104 1.6053 -0.3076
B -3.6074 4.6468 -0.3747
B -7.6688 0.3227 -2.8714
B -4.8102 -0.0628 -3.4066
B -6.4660 5.0323 0.1606
B -8.5976 1.6098 -3.8365
B -2.6786 3.3597 0.5905
B -7.5428 5.7401 -1.1775
B -3.7335 -0.7706 -2.0686
C -5.0562 4.7632 -0.1562
C -6.2200 0.2063 -3.0898

4
Lattice="-0.5700 -3.4256 2.0230 2.4547 -1.4931 -1.8367 4.9147 0.8037 2.7456" Properties=species:S:1:pos:R:3 comment="Zr2BeAu | Alexandria via LeMat-Bulk | PBE-GGA | relaxed" rho_g_cm3=8.68 dft_energy_ev_per_fu=-25.199 delta_e_f_ev_per_fu=-1.10 space_group="Amm2 (38)" pbc="T T T"
Be 4.8785 -1.9111 2.1307
Au 4.1526 -0.6204 0.1195
Zr 6.9739 -0.6978 0.7834
Zr 1.8486 -1.9200 1.2619

4
Lattice="4.7941 0.0012 0.0008 3.9834 2.6676 0.0008 0.8027 0.2441 4.7549" Properties=species:S:1:pos:R:3 comment="Ir2RuAu | Alexandria via LeMat-Bulk | PBE-GGA | relaxed" rho_g_cm3=18.64 dft_energy_ev_per_fu=-29.119 delta_e_f_ev_per_fu=1.16 space_group="Cm (8)" pbc="T T T"
Au 7.1876 2.1854 3.5664
Ir 8.7248 2.6528 0.0701
Ir 2.3886 0.7262 1.2116
Ru 4.8468 1.4737 2.2882

10
Lattice="5.8926 0.0000 0.0000 0.0000 6.2247 0.0000 0.0000 -3.1123 5.3907" Properties=species:S:1:pos:R:3 comment="K2SmRuO6 | Alexandria via LeMat-Bulk | PBE-GGA | relaxed" rho_g_cm3=3.57 dft_energy_ev_per_fu=-61.509 space_group="P-3m1 (164)" formation_energy_uncorrected_ev_per_atom=-1.557 pbc="T T T"
K 0.5749 0.0000 3.5938
K 5.3177 3.1123 1.7969
Sm 2.9463 0.0000 0.0000
Ru 0.0000 0.0000 0.0000
O 4.7144 0.0000 1.5209
O 4.7144 -1.7952 4.6303
O 4.7144 1.7952 4.6303
O 1.1783 4.9075 0.7605
O 1.1783 1.3171 0.7605
O 1.1783 3.1123 3.8698

11
Lattice="-2.3939 -1.0018 -0.8299 0.0252 -4.2953 5.1129 -2.9306 4.8854 7.0287" Properties=species:S:1:pos:R:3 comment="Ir4Os2Rh5 | Alexandria via LeMat-Bulk | PBE-GGA | relaxed" rho_g_cm3=17.53 dft_energy_ev_per_fu=-94.584 delta_e_f_ev_per_fu=0.08 space_group="C2/m (12)" pbc="T T T"
Ir -2.6914 -1.2233 4.7682
Ir -0.3542 -2.3280 3.8321
Ir -2.6080 0.8115 6.5435
Ir -4.9452 1.9163 7.4796
Os -1.9456 -0.8763 2.1978
Os -3.3538 0.4645 9.1140
Rh -1.0842 -2.7444 6.4408
Rh -4.2151 2.3326 4.8709
Rh -1.8593 1.1968 3.9187
Rh -1.1970 -0.5009 -0.4149
Rh -3.4401 -1.6086 7.3931

4
Lattice="-3.2517 2.3273 -2.0860 0.1318 -4.4950 -0.3447 -3.0459 -0.4177 4.2820" Properties=species:S:1:pos:R:3 comment="ZrCu | Alexandria via LeMat-Bulk | PBE-GGA | relaxed" rho_g_cm3=5.54 dft_energy_ev_per_fu=-11.260 delta_e_f_ev_per_fu=1.38 space_group="P6_3/mmc (194)" pbc="T T T"
Zr -3.2804 -2.5342 2.2864
Zr -2.8853 -0.0512 -0.4351
Cu -1.7575 -2.3253 0.1454
Cu -4.4083 -0.2601 1.7059

5
Lattice="4.8245 0.0000 0.0000 0.0000 5.6217 0.0000 0.0000 0.0000 4.8245" Properties=species:S:1:pos:R:3 comment="ZrScRuS2 | Alexandria via LeMat-Bulk | PBE-GGA | relaxed" rho_g_cm3=3.82 dft_energy_ev_per_fu=-29.331 space_group="P4/mmm (123)" formation_energy_uncorrected_ev_per_atom=0.616 pbc="T T T"
Sc 0.0000 2.8109 0.0000
Ru 2.4122 2.8109 2.4122
S 0.0000 0.0000 2.4122
S 2.4122 0.0000 0.0000
Zr 0.0000 0.0000 0.0000

8
Lattice="-3.0149 -1.6672 -2.8688 3.7128 -1.2904 -2.1563 0.0922 -4.2645 1.3840" Properties=species:S:1:pos:R:3 comment="PrSO6 | Alexandria via LeMat-Bulk | PBE-GGA | relaxed" rho_g_cm3=5.13 dft_energy_ev_per_fu=-48.337 space_group="R-3m (166)" formation_energy_uncorrected_ev_per_atom=-1.210 pbc="T T T"
Pr 0.3950 -3.6111 -1.8206
S 0.0000 0.0000 0.0000
O 2.5446 -2.1898 -1.4428
O -1.9295 -2.4403 -1.9167
O 2.7195 -4.7818 -1.7244
O -1.7545 -5.0324 -2.1983
O 0.1891 -1.0874 -1.2102
O 0.6010 -6.1348 -2.4309

3
Lattice="4.8238 0.0000 -0.0037 2.3685 4.2023 0.0037 -3.1661 -2.8371 2.2793" Properties=species:S:1:pos:R:3 comment="MgRuPt | Alexandria via LeMat-Bulk | PBE-GGA | relaxed" rho_g_cm3=11.51 dft_energy_ev_per_fu=-17.261 delta_e_f_ev_per_fu=-0.35 space_group="Imm2 (44)" pbc="T T T"
Mg 0.0068 0.0040 0.0000
Pt 4.7963 2.8024 0.0000
Ru 2.3891 1.3959 0.0000

10
Lattice="4.2672 -0.4004 -0.7548 0.0000 4.1445 -2.1987 -1.0077 0.7632 6.4441" Properties=species:S:1:pos:R:3 comment="VFeCo3 | Alexandria via LeMat-Bulk | PBE-GGA | relaxed" rho_g_cm3=8.04 dft_energy_ev_per_fu=-38.653 delta_e_f_ev_per_fu=0.25 space_group="Imma (74)" pbc="T T T"
V 1.7228 3.5056 1.6025
V 1.5366 1.0017 1.8881
Fe 2.0518 2.2041 4.1547
Fe 1.2076 2.3032 -0.6641
Co 3.5394 3.5445 -0.6867
Co 3.5394 1.5884 0.3510
Co -0.2800 2.9189 3.1395
Co -0.2800 0.9628 4.1773
Co 0.0000 0.0000 0.0000
Co 2.1336 -0.2002 -0.3774

9
Lattice="-3.6871 -3.1827 1.6712 -0.7234 -2.0059 -5.4161 3.8245 -2.5588 3.5647" Properties=species:S:1:pos:R:3 comment="AcNdTaO6 | Alexandria via LeMat-Bulk | PBE-GGA | relaxed" rho_g_cm3=7.12 dft_energy_ev_per_fu=-76.716 space_group="P312 (149)" formation_energy_uncorrected_ev_per_atom=-2.915 pbc="T T T"
Ac 2.3085 -2.3745 0.5711
Nd -1.0510 -3.7816 -1.5869
Ta -1.8436 -1.5914 0.8356
O -0.4333 -5.5276 -0.1217
O -2.8481 -2.8577 -0.3646
O -2.2611 -5.0220 -3.1912
O -0.1534 -2.2197 -0.0598
O -1.5614 -2.3320 -3.3800
O 0.9513 -4.7304 -2.4039